Density functional theory data (PBE-GGA) for a relaxed AlSbTeI2 crystal.

Computed properties:
- excess energy over the best structure of this formula in the dataset (meV per atom) = 0.0
- density (g cm⁻³) = 5.4
- Fermi-level density of states (states/eV/atom) = 0.521
- energy relative to the elements, uncorrected (eV per atom) = 0.205

a b c (Å): 5.3896 5.3896 5.6079
angles (deg): 90.00 90.00 90.00
Last column: nearest neighbours and their distance in Å.
Space group P4/mmm (No. 123)
Asymmetric unit:
Al  0.0000  0.0000  0.0000  4 I 2.69, 2 Te 2.80
Sb  0.5000  0.5000  0.5000  4 Te 3.81, 8 I 3.89
Te  0.0000  0.0000  0.5000  2 Al 2.80
I  0.0000  0.5000  0.0000  2 Al 2.69